Entry 1:
# BaB2Br8

BaB2Br8 after structural relaxation (PBE, the Alexandria database).

Lattice parameters (Å, degrees): 19.2650 10.1149 10.5481 90.00 122.51 90.00
Space group C2/c (No. 15)
Inequivalent atoms, fractional coordinates:
1 Ba 0.0000 0.0411 0.2500 (multiplicity 4)
2 B 0.1076 0.2460 0.0734 (multiplicity 8)
3 Br 0.0196 0.2034 0.5508 (multiplicity 8)
4 Br 0.1276 0.4158 0.0090 (multiplicity 8)
5 Br 0.1450 0.2475 0.2957 (multiplicity 8)
6 Br 0.1666 0.0941 0.0403 (multiplicity 8)

Output
ΔE_f (raw) = -0.94 eV/atom

***

Entry 2:
# PmNdGe4

PmNdGe4 after structural relaxation (PBE, the Alexandria database).

Lattice parameters (Å, degrees): 8.9660 15.5656 4.1638 90.00 90.00 90.00
Space group Pbam (No. 55)
Inequivalent atoms, fractional coordinates:
1 Pm 0.1352 0.0866 0.0000 (multiplicity 4)
2 Nd 0.1027 0.3693 0.0000 (multiplicity 4)
3 Ge 0.0569 0.2192 0.5000 (multiplicity 4)
4 Ge 0.1315 0.5268 0.5000 (multiplicity 4)
5 Ge 0.1341 0.9210 0.5000 (multiplicity 4)
6 Ge 0.1690 0.6890 0.5000 (multiplicity 4)

Output
E above lowest polymorph = 0.0 meV per atom
Formation enthalpy at 0 K = -2.99 eV per formula unit

***

Entry 3:
# K3CePm2Se6

K3CePm2Se6 after structural relaxation (PBE, the Alexandria database).

Lattice parameters (Å, degrees): 7.5228 13.0317 8.0871 90.00 108.06 90.00
Space group C2/m (No. 12)
Inequivalent atoms, fractional coordinates:
1 K 0.0000 0.0000 0.0000 (multiplicity 2)
2 K 0.0000 0.3333 0.0000 (multiplicity 4)
3 Ce 0.0000 0.5000 0.5000 (multiplicity 2)
4 Pm 0.0000 0.1666 0.5000 (multiplicity 4)
5 Se 0.2347 0.0000 0.7097 (multiplicity 4)
6 Se 0.2374 0.3324 0.7095 (multiplicity 8)

Output
ΔE_f (raw) = -1.74 eV/atom

***

Entry 4:
# BaVCo2

BaVCo2 after structural relaxation (PBE, the Alexandria database).

Lattice parameters (Å, degrees): 4.9824 4.9824 14.8261 90.00 90.00 90.00
Space group I4_1/amd (No. 141, origin choice 2)
Inequivalent atoms, fractional coordinates:
1 Ba 0.0000 0.2500 0.3750 (multiplicity 4)
2 V 0.0000 0.2500 0.8750 (multiplicity 4)
3 Co 0.0000 0.0000 0.0000 (multiplicity 8)

Output
E above lowest polymorph = 0.0 meV per atom
Formation enthalpy at 0 K = 2.60 eV per formula unit

***

Entry 5:
# LaCdAg2

LaCdAg2 after structural relaxation (PBE, the Alexandria database).

Lattice parameters (Å, degrees): 3.6517 3.5109 7.3577 90.00 90.23 90.00
Space group P2/m (No. 10)
Inequivalent atoms, fractional coordinates:
1 La 0.0000 0.0000 0.0000 (multiplicity 1)
2 Cd 0.0000 0.0000 0.5000 (multiplicity 1)
3 Ag 0.4978 0.5000 0.7112 (multiplicity 2)

Output
Formation enthalpy at 0 K = -0.64 eV per formula unit

***

Entry 6:
# TbEr2Ga

TbEr2Ga after structural relaxation (PBE, the Alexandria database).

Lattice parameters (Å, degrees): 3.4655 3.4655 33.6156 90.00 90.00 120.00
Space group R-3m (No. 166, hexagonal axes)
Inequivalent atoms, fractional coordinates:
1 Tb 0.0000 0.0000 0.0000 (multiplicity 3)
2 Er 0.0000 0.0000 0.1022 (multiplicity 6)
3 Ga 0.0000 0.0000 0.5000 (multiplicity 3)

Output
E above lowest polymorph = 287.3 meV per atom
Formation enthalpy at 0 K = 0.01 eV per formula unit

***

Entry 7:
# CaHf3I

CaHf3I after structural relaxation (PBE, the Alexandria database).

Lattice parameters (Å, degrees): 5.2682 5.2682 5.2682 90.00 90.00 90.00
Space group Pm-3m (No. 221)
Inequivalent atoms, fractional coordinates:
1 Ca 0.0000 0.0000 0.0000 (multiplicity 1)
2 Hf 0.0000 0.0000 0.5000 (multiplicity 3)
3 I 0.5000 0.5000 0.5000 (multiplicity 1)

Output
E above lowest polymorph = 932.2 meV per atom
ΔE_f (raw) = 1.84 eV/atom

***

Entry 8:
# RuC

RuC after structural relaxation (PBE, the Alexandria database).

Lattice parameters (Å, degrees): 2.8214 2.8214 5.3490 90.00 90.00 90.00
Space group I4mm (No. 107)
Inequivalent atoms, fractional coordinates:
1 Ru 0.0000 0.0000 0.0000 (multiplicity 2)
2 C 0.0000 0.0000 0.3694 (multiplicity 2)

Output
E above lowest polymorph = 176.4 meV per atom
Formation enthalpy at 0 K = 1.08 eV per formula unit

***

Entry 9:
# LiPmIn

LiPmIn after structural relaxation (PBE, the Alexandria database).

Lattice parameters (Å, degrees): 5.0561 5.0561 3.4124 90.00 90.00 120.00
Space group P-6m2 (No. 187)
Inequivalent atoms, fractional coordinates:
1 Li 0.0000 0.0000 0.0000 (multiplicity 1)
2 Pm 0.6667 0.3333 0.5000 (multiplicity 1)
3 In 0.3333 0.6667 0.0000 (multiplicity 1)

Output
E above lowest polymorph = 0.0 meV per atom
Formation enthalpy at 0 K = -1.02 eV per formula unit

***

Entry 10:
# CuOsRh2

CuOsRh2 after structural relaxation (PBE, the Alexandria database).

Lattice parameters (Å, degrees): 2.7359 2.7359 7.3586 90.00 90.00 90.00
Space group P4/mmm (No. 123)
Inequivalent atoms, fractional coordinates:
1 Cu 0.0000 0.0000 0.0000 (multiplicity 1)
2 Os 0.0000 0.0000 0.5000 (multiplicity 1)
3 Rh 0.5000 0.5000 0.2489 (multiplicity 2)

Output
E above lowest polymorph = 0.0 meV per atom
Formation enthalpy at 0 K = 0.09 eV per formula unit

***

Entry 11:
# PrSm5Dy4

PrSm5Dy4 after structural relaxation (PBE, the Alexandria database).

Lattice parameters (Å, degrees): 10.3037 10.3037 6.3298 90.00 90.00 90.00
Space group I4 (No. 79)
Inequivalent atoms, fractional coordinates:
1 Pr 0.0000 0.0000 0.0000 (multiplicity 2)
2 Sm 0.0000 0.0000 0.5417 (multiplicity 2)
3 Sm 0.1491 0.2329 0.2703 (multiplicity 8)
4 Dy 0.0478 0.3486 0.7676 (multiplicity 8)

Output
E above lowest polymorph = 269.7 meV per atom
Formation enthalpy at 0 K = 2.85 eV per formula unit

***

Entry 12:
# PaBr2Cl3

PaBr2Cl3 after structural relaxation (PBE, the Alexandria database).

Lattice parameters (Å, degrees): 5.4372 7.8438 13.6093 90.00 90.00 90.00
Space group Imm2 (No. 44)
Inequivalent atoms, fractional coordinates:
1 Pa 0.0000 0.0000 0.0000 (multiplicity 2)
2 Br 0.0000 0.2399 0.8612 (multiplicity 4)
3 Cl 0.0000 0.2254 0.1296 (multiplicity 4)
4 Cl 0.0000 0.5000 0.5001 (multiplicity 2)

Output
ΔE_f (raw) = -1.65 eV/atom

***

Entry 13:
# CaSbW2

CaSbW2 after structural relaxation (PBE, the Alexandria database).

Lattice parameters (Å, degrees): 3.8485 4.7796 8.8829 90.00 90.00 90.00
Space group Imm2 (No. 44)
Inequivalent atoms, fractional coordinates:
1 Ca 0.0000 0.0000 0.0000 (multiplicity 2)
2 Sb 0.0000 0.5000 0.2273 (multiplicity 2)
3 W 0.0000 0.0000 0.4566 (multiplicity 2)
4 W 0.0000 0.5000 0.7643 (multiplicity 2)

Output
ΔE_f (raw) = 0.58 eV/atom

***

Entry 14:
# Cs2BaH6Rh

Cs2BaH6Rh after structural relaxation (PBE, the Alexandria database).

Lattice parameters (Å, degrees): 6.5097 6.5097 6.6551 90.00 90.00 120.00
Space group P-3m1 (No. 164)
Inequivalent atoms, fractional coordinates:
1 Cs 0.3333 0.6667 0.1186 (multiplicity 2)
2 Ba 0.0000 0.0000 0.5000 (multiplicity 1)
3 H 0.1215 0.2429 0.8515 (multiplicity 6)
4 Rh 0.0000 0.0000 0.0000 (multiplicity 1)

Output
Final energy = -34.38 eV per cell

***

Entry 15:
# Nb2InHPd

Nb2InHPd after structural relaxation (PBE, the Alexandria database).

Lattice parameters (Å, degrees): 4.0310 4.0310 4.5685 90.00 90.00 90.00
Space group P4/mmm (No. 123)
Inequivalent atoms, fractional coordinates:
1 Nb 0.0000 0.5000 0.0000 (multiplicity 2)
2 In 0.0000 0.0000 0.5000 (multiplicity 1)
3 H 0.5000 0.5000 0.0000 (multiplicity 1)
4 Pd 0.5000 0.5000 0.5000 (multiplicity 1)

Output
E above lowest polymorph = 0.0 meV per atom

***

Entry 16:
# ZrHSN2

ZrHSN2 after structural relaxation (PBE, the Alexandria database).

Lattice parameters (Å, degrees): 3.9321 3.9321 3.1367 90.00 90.00 90.00
Space group P4/mmm (No. 123)
Inequivalent atoms, fractional coordinates:
1 Zr 0.0000 0.0000 0.0000 (multiplicity 1)
2 H 0.5000 0.5000 0.5000 (multiplicity 1)
3 S 0.5000 0.5000 0.0000 (multiplicity 1)
4 N 0.0000 0.5000 0.5000 (multiplicity 2)

Output
E above lowest polymorph = 0.0 meV per atom

***

Entry 17:
# LiHg5S4

LiHg5S4 after structural relaxation (PBE, the Alexandria database).

Lattice parameters (Å, degrees): 8.5826 8.8873 6.6658 90.00 90.00 90.00
Space group Pmmn (No. 59, origin choice 2)
Inequivalent atoms, fractional coordinates:
1 Li 0.2500 0.2500 0.1892 (multiplicity 2)
2 Hg 0.0109 0.5678 0.2460 (multiplicity 8)
3 Hg 0.2500 0.7500 0.7373 (multiplicity 2)
4 S 0.0154 0.2500 0.4236 (multiplicity 4)
5 S 0.2500 0.0009 0.9915 (multiplicity 4)

Output
ΔE_f (raw) = -0.10 eV/atom

***

Entry 18:
# HoPuSc

HoPuSc after structural relaxation (PBE, the Alexandria database).

Lattice parameters (Å, degrees): 3.3819 3.3819 8.2659 90.00 90.00 120.00
Space group P3m1 (No. 156)
Inequivalent atoms, fractional coordinates:
1 Ho 0.0000 0.0000 0.0000 (multiplicity 1)
2 Pu 0.6667 0.3333 0.3457 (multiplicity 1)
3 Sc 0.3333 0.6667 0.6683 (multiplicity 1)

Output
E above lowest polymorph = 14.7 meV per atom
Formation enthalpy at 0 K = 0.38 eV per formula unit

***

Entry 19:
# LiBeTc4

LiBeTc4 after structural relaxation (PBE, the Alexandria database).

Lattice parameters (Å, degrees): 7.1803 7.1803 7.1803 90.00 90.00 90.00
Space group F-43m (No. 216)
Inequivalent atoms, fractional coordinates:
1 Li 0.0000 0.0000 0.0000 (multiplicity 4)
2 Be 0.2500 0.2500 0.2500 (multiplicity 4)
3 Tc 0.1250 0.1250 0.6250 (multiplicity 16)

Output
Formation enthalpy at 0 K = 3.37 eV per formula unit

***

Entry 20:
# Al2CoTe

Al2CoTe after structural relaxation (PBE, the Alexandria database).

Lattice parameters (Å, degrees): 3.5133 3.4469 5.6837 90.00 98.80 90.00
Space group P2/m (No. 10)
Inequivalent atoms, fractional coordinates:
1 Al 0.0397 0.0000 0.2819 (multiplicity 2)
2 Co 0.5000 0.5000 0.5000 (multiplicity 1)
3 Te 0.5000 0.5000 0.0000 (multiplicity 1)

Output
ΔE_f (raw) = 0.15 eV/atom